Here is a geometry-optimized KHfAu3S4 structure from OQMD via LeMat-Bulk. Energies are from GGA-PBE.

CIF file:
```
data_KHfAu3S4
_cell_length_a 6.211
_cell_length_b 6.211
_cell_length_c 6.211
_cell_angle_alpha 90.00
_cell_angle_beta 90.00
_cell_angle_gamma 90.00
_space_group_name_H-M_alt 'P -4 3 m'
_space_group_IT_number 215
_space_group_name_Hall 'P -4 2 3'
loop_
_atom_site_label
_atom_site_type_symbol
_atom_site_fract_x
_atom_site_fract_y
_atom_site_fract_z
K1 K 0.000 0.000 0.000
Hf1 Hf 0.500 0.500 0.500
Au1 Au 0.000 0.500 0.500
S1 S 0.276 0.276 0.276
```

Results
calculated density = 6.49 g/cm³
DFT total energy = -4.83 eV/atom
excess energy over the best structure of this formula in the dataset = 0.0 kJ/mol of atoms
total moment = 0.0 μB/f.u.
calculated volume = 239.6 Å³/cell